No. 1
The following is a PBE calculation of a relaxed PmErTe6 crystal, from Alexandria.

Cell: 4.354 4.356 13.637 Å, 90.00 99.19 90.00°
Fractional positions:
Te 0.420 0.000 0.841
Te 0.578 0.500 0.155
Te 0.294 0.500 0.588
Te 0.710 0.000 0.419
Te 0.078 0.000 0.155
Te 0.920 0.500 0.841
Er 0.828 0.000 0.655
Pm 0.173 0.500 0.345

Formation energy from raw total energies: -927 meV per atom
Spin magnetization: 0.000 μB/atom
Final energy: -35.58 eV/f.u.
SG: Amm2, No. 38

***

No. 2
The following is a PBE calculation of a relaxed BaGa3NiPd crystal, from Alexandria.

Cell: 6.802 6.678 6.761 Å, 119.60 90.00 90.00°
Fractional positions:
Ga 0.250 0.235 0.471
Ga 0.000 0.763 0.000
Ga 0.000 0.237 0.000
Ga 0.500 0.763 0.000
Ga 0.750 0.765 0.529
Ga 0.500 0.237 0.000
Ba 0.250 0.745 0.490
Ba 0.750 0.255 0.510
Ni 0.250 0.045 0.091
Ni 0.750 0.955 0.909
Pd 0.750 0.561 0.121
Pd 0.250 0.439 0.879

Spin magnetization: 0.000 μB/atom
E_form: -0.438 eV/atom
Final energy: -24.61 eV/f.u.
SG: Cmcm, No. 63

***

No. 3
The following is a PBE calculation of a relaxed FeAsIr crystal, from Alexandria.

Cell: 5.572 2.877 6.028 Å, 90.00 111.99 90.00°
Each line ends with the local moment (μB).
Fractional positions:
Ir 0.254 0.000 0.042  0.25
Ir 0.746 0.000 0.958  0.25
Fe 0.921 0.500 0.686  2.38
Fe 0.079 0.500 0.314  2.38
As 0.687 0.000 0.349  -0.04
As 0.313 0.000 0.651  -0.04

Spin magnetization: 0.858 μB/atom
E_form: -0.014 eV/atom
Final energy: -22.01 eV/f.u.
SG: P2/m, No. 10

***

No. 4
The following is a PBE calculation of a relaxed Cr2InP crystal, from Alexandria.

Cell: 4.853 4.853 4.853 Å, 139.28 119.02 75.94°
Each line ends with the local moment (μB).
Fractional positions:
Cr 0.049 0.049 0.000  2.34
Cr 0.451 0.451 0.000  2.34
In 0.750 0.250 0.500  -0.07
P 0.250 0.750 0.500  -0.13

Spin magnetization: 1.176 μB/atom
E_form: 0.226 eV/atom
Final energy: -26.49 eV/f.u.
Energy above the lowest structure with this stoichiometry: 201 meV per atom
SG: Immm, No. 71